No. 1
Density functional theory data (PBE-GGA) for a relaxed structure of Ba2SrHg.

Values from the calculation:
* calculated formation energy: -23 kJ/mol of atoms
* space group: No. 44
* D(E_F): 1.21 states/eV/atom

CIF file:
```
data_Ba2SrHg
_chemical_formula_sum 'Ba2 Sr1 Hg1'
_symmetry_space_group_name_H-M 'P 1'
_symmetry_Int_Tables_number 1
_symmetry_space_group_name_Hall 'P 1'
_cell_length_a 7.911
_cell_length_b 7.911
_cell_length_c 7.911
_cell_angle_alpha 148.49
_cell_angle_beta 131.90
_cell_angle_gamma 58.64
loop_
_atom_site_label
_atom_site_fract_x
_atom_site_fract_y
_atom_site_fract_z
_atom_site_occupancy
Sr1 0.308 0.808 0.500 1
Hg1 0.496 0.496 0.000 1
Ba1 0.695 0.195 0.500 1
Ba2 0.002 0.002 0.000 1
```

=====

No. 2
Density functional theory data (PBE-GGA) for a relaxed structure of BaSr4Hg2.

Values from the calculation:
* calculated formation energy: -27 kJ/mol of atoms
* space group: No. 11
* D(E_F): 1.25 states/eV/atom
* relative energy among the computed polymorphs: 0 meV per atom

CIF file:
```
data_BaSr4Hg2
_chemical_formula_sum 'Ba2 Sr8 Hg4'
_symmetry_space_group_name_H-M 'P 1'
_symmetry_Int_Tables_number 1
_symmetry_space_group_name_Hall 'P 1'
_cell_length_a 7.487
_cell_length_b 9.592
_cell_length_c 9.190
_cell_angle_alpha 111.79
_cell_angle_beta 90.00
_cell_angle_gamma 90.00
loop_
_atom_site_label
_atom_site_fract_x
_atom_site_fract_y
_atom_site_fract_z
_atom_site_occupancy
Sr1 0.501 0.418 0.763 1
Hg1 0.250 0.262 0.978 1
Ba1 0.750 0.151 0.006 1
Hg2 0.250 0.621 0.583 1
Sr2 0.999 0.418 0.763 1
Sr3 0.750 0.020 0.392 1
Sr4 0.750 0.740 0.658 1
Sr5 0.499 0.582 0.237 1
Sr6 0.250 0.980 0.608 1
Ba2 0.250 0.849 0.994 1
Hg3 0.750 0.379 0.417 1
Sr7 0.001 0.582 0.237 1
Sr8 0.250 0.260 0.342 1
Hg4 0.750 0.738 0.022 1
```

=====

No. 3
Density functional theory data (PBE-GGA) for a relaxed structure of BaSr2Hg3.

Values from the calculation:
* calculated formation energy: -51 kJ/mol of atoms
* space group: No. 123
* D(E_F): 0.74 states/eV/atom
* relative energy among the computed polymorphs: 0 meV per atom

CIF file:
```
data_BaSr2Hg3
_chemical_formula_sum 'Ba1 Sr2 Hg3'
_symmetry_space_group_name_H-M 'P 1'
_symmetry_Int_Tables_number 1
_symmetry_space_group_name_Hall 'P 1'
_cell_length_a 4.085
_cell_length_b 4.085
_cell_length_c 12.151
_cell_angle_alpha 90.00
_cell_angle_beta 90.00
_cell_angle_gamma 90.00
loop_
_atom_site_label
_atom_site_fract_x
_atom_site_fract_y
_atom_site_fract_z
_atom_site_occupancy
Hg1 0.000 0.000 0.321 1
Ba1 0.500 0.500 0.500 1
Hg2 0.000 0.000 0.679 1
Sr1 0.500 0.500 0.839 1
Sr2 0.500 0.500 0.161 1
Hg3 0.000 0.000 0.000 1
```

=====

No. 4
Density functional theory data (PBE-GGA) for a relaxed structure of BaSr2Hg.

Values from the calculation:
* calculated formation energy: -21 kJ/mol of atoms
* space group: No. 166
* D(E_F): 1.11 states/eV/atom

CIF file:
```
data_BaSr2Hg
_chemical_formula_sum 'Ba1 Sr2 Hg1'
_symmetry_space_group_name_H-M 'P 1'
_symmetry_Int_Tables_number 1
_symmetry_space_group_name_Hall 'P 1'
_cell_length_a 11.911
_cell_length_b 11.911
_cell_length_c 11.911
_cell_angle_alpha 21.46
_cell_angle_beta 21.46
_cell_angle_gamma 21.46
loop_
_atom_site_label
_atom_site_fract_x
_atom_site_fract_y
_atom_site_fract_z
_atom_site_occupancy
Hg1 0.750 0.750 0.750 1
Sr1 0.477 0.477 0.477 1
Sr2 0.023 0.023 0.023 1
Ba1 0.250 0.250 0.250 1
```

=====

The highest calculated formation energy belongs to which entry?
BaSr2Hg

=====

calculated formation energy of number 1 (Ba2SrHg)?
-23 kJ/mol of atoms